VASP calculation (PBE+U) on an optimized crystal structure of La7Nb3W4O30.

Lattice parameters (Å, degrees): 6.926 10.249 10.288 115.13 103.54 102.41
Positions (direct):
La1 0.556 0.432 0.197
La2 0.356 0.801 0.236
La3 0.117 0.761 0.567
La4 0.444 0.568 0.803
La5 0.644 0.199 0.764
La6 0.883 0.239 0.433
La7 0.000 0.000 0.000
Nb1 0.500 0.000 0.000
Nb2 0.979 0.613 0.828
Nb3 0.021 0.387 0.172
W1 0.149 0.167 0.790
W2 0.360 0.210 0.374
W3 0.851 0.833 0.210
W4 0.640 0.790 0.626
O1 0.228 0.619 0.960
O2 0.265 0.044 0.661
O3 0.607 0.342 0.389
O4 0.772 0.381 0.040
O5 0.735 0.956 0.339
O6 0.393 0.658 0.611
O7 0.992 0.778 0.061
O8 0.936 0.944 0.718
O9 0.218 0.276 0.223
O10 0.008 0.222 0.939
O11 0.064 0.056 0.282
O12 0.782 0.724 0.777
O13 0.737 0.457 0.794
O14 0.947 0.195 0.660
O15 0.288 0.335 0.533
O16 0.263 0.543 0.206
O17 0.053 0.805 0.340
O18 0.712 0.665 0.467
O19 0.039 0.509 0.652
O20 0.369 0.347 0.860
O21 0.510 0.133 0.480
O22 0.961 0.491 0.348
O23 0.631 0.653 0.140
O24 0.490 0.867 0.520
O25 0.383 0.035 0.173
O26 0.222 0.827 0.856
O27 0.354 0.142 0.964
O28 0.617 0.965 0.827
O29 0.778 0.173 0.144
O30 0.646 0.858 0.036

Results
Calculated volume in Å³ per cell: 600.5
Fermi-level density of states in states/eV per cell: 0.0
ρ in g/cm3: 6.82
Calculated total energy in eV/atom: -8.35